KScIr2, relaxed, DFT PBE-GGA; relative energy among the computed polymorphs = 0.142 eV per atom; V = 90.0 Å³ per cell; formation energy from the elements = 0.110 eV/atom
1.0
2.8552 0.0000 0.0000
0.0000 4.2381 0.0000
-1.3299 0.0000 7.4353
K Sc Ir
1 1 2
Direct
0.0000 0.0000 0.0000
0.5000 0.0000 0.5000
0.2728 0.5000 0.6617
0.7272 0.5000 0.3383